No. 1
The following is a PBE calculation of crystalline In3S3O at its relaxed geometry, from Alexandria.

The structure belongs to space group P6_3/mmc (No. 194); the cell edges are 8.1840, 8.1840 and 5.5999 Å and the angles 90.00°, 90.00° and 120.00°. Symmetry generates all atoms from In at (0.1826, 0.3652, 0.2500), S at (0.1800, 0.3600, 0.7500) and O at (0.3333, 0.6667, 0.2500).

As for the calculated volume: 324.9 Å³/cell. The calculation puts the uncorrected formation energy at -0.6386 eV/atom. The calculation puts the magnetization at 0.00 μB per formula unit.

No. 2
The following is a PBE calculation of crystalline Nd2YI at its relaxed geometry, from Alexandria.

The structure belongs to space group P4/mmm (No. 123); the cell edges are 3.711, 3.711 and 9.767 Å and the angles 90.00°, 90.00° and 90.00°. Symmetry generates all atoms from Nd at (0.000, 0.000, 0.240), Y at (0.500, 0.500, 0.500) and I at (0.500, 0.500, 0.000).

As for the calculated volume: 134.5 Å³/cell. The calculation puts the uncorrected formation energy at -0.3482 eV/atom. The relative energy among the computed polymorphs is 58.6 meV/atom. The calculation puts the magnetization at 0.00 μB per formula unit.

No. 3
The following is a PBE calculation of crystalline BaNaTeI2 at its relaxed geometry, from Alexandria.

The structure belongs to space group P4/mmm (No. 123); the cell edges are 5.818, 5.818 and 5.969 Å and the angles 90.00°, 90.00° and 90.00°. Symmetry generates all atoms from Ba at (0.000, 0.000, 0.000), Na at (0.500, 0.500, 0.500), Te at (0.500, 0.500, 0.000) and I at (0.000, 0.500, 0.500).

As for the calculated volume: 202.0 Å³/cell. The calculation puts the uncorrected formation energy at -0.9598 eV/atom. The relative energy among the computed polymorphs is 0.0 meV/atom. The calculation puts the magnetization at 0.99 μB per formula unit.

No. 4
The following is a PBE calculation of crystalline Cd6InGa at its relaxed geometry, from Alexandria.

The structure belongs to space group P4/mmm (No. 123); the cell edges are 4.490, 4.490 and 9.010 Å and the angles 90.00°, 90.00° and 90.00°. Symmetry generates all atoms from Cd at (0.000, 0.000, 0.000), Cd at (0.000, 0.000, 0.500), Cd at (0.000, 0.500, 0.242), In at (0.500, 0.500, 0.500) and Ga at (0.500, 0.500, 0.000).

As for the calculated volume: 181.7 Å³/cell. For the formation energy from the elements, the calculation gives 0.4 eV/f.u. The relative energy among the computed polymorphs is 8.2 meV/atom. The calculation puts the magnetization at 0.00 μB per formula unit.

What did the third record say?
The following is a PBE calculation of crystalline BaNaTeI2 at its relaxed geometry, from Alexandria.

The structure belongs to space group P4/mmm (No. 123); the cell edges are 5.818, 5.818 and 5.969 Å and the angles 90.00°, 90.00° and 90.00°. Symmetry generates all atoms from Ba at (0.000, 0.000, 0.000), Na at (0.500, 0.500, 0.500), Te at (0.500, 0.500, 0.000) and I at (0.000, 0.500, 0.500).

As for the calculated volume: 202.0 Å³/cell. The calculation puts the uncorrected formation energy at -0.9598 eV/atom. The relative energy among the computed polymorphs is 0.0 meV/atom. The calculation puts the magnetization at 0.99 μB per formula unit.

Q: What is the formula in the fourth record?
A: Cd6InGa

Q: The highest magnetization belongs to which entry?
A: BaNaTeI2